(1)
CsBaAs2Se GGA-PBE relaxed; formation energy (no corrections) = 2.24 eV per formula unit; symmetry = P4/mmm, No. 123
1.0
5.768 0.000 0.000
0.000 5.768 0.000
0.000 0.000 6.029
Cs Ba As Se
1 1 2 1
Direct
0.000 0.000 0.000
0.500 0.500 0.500
0.000 0.500 0.000
0.500 0.000 0.000
0.000 0.000 0.500

***

(2)
CsBaAsSe2 GGA-PBE relaxed; formation energy (no corrections) = -1.35 eV per formula unit; symmetry = P4/mmm, No. 123
1.0
6.252 0.000 0.000
0.000 6.252 0.000
0.000 0.000 6.416
Cs Ba As Se
1 1 1 2
Direct
0.000 0.000 0.000
0.500 0.500 0.500
0.500 0.500 0.000
0.000 0.500 0.500
0.500 0.000 0.500

***

(3)
CsBa2As2Se6 GGA-PBE relaxed; formation energy (no corrections) = -10.71 eV per formula unit; symmetry = P-1, No. 2
1.0
6.630 0.000 0.000
2.031 6.409 0.000
0.106 0.299 9.461
Cs Ba As Se
1 2 2 6
Direct
0.000 0.000 0.000
0.349 0.336 0.635
0.651 0.664 0.365
0.242 0.343 0.219
0.758 0.657 0.781
0.149 0.664 0.349
0.295 0.465 0.983
0.408 0.819 0.682
0.592 0.181 0.318
0.705 0.535 0.017
0.851 0.336 0.651

***

(4)
CsBa2SrAs GGA-PBE relaxed; formation enthalpy at 0 K = -407.9 meV per atom; symmetry = P4/mmm, No. 123
1.0
6.669 0.000 0.000
0.000 6.669 0.000
0.000 0.000 6.324
Cs Ba Sr As
1 2 1 1
Direct
0.000 0.000 0.000
0.000 0.500 0.500
0.500 0.000 0.500
0.500 0.500 0.000
0.500 0.500 0.500

***

(5)
BaCuAs3 GGA-PBE relaxed; formation enthalpy at 0 K = -175.9 meV per atom; symmetry = Pm-3m, No. 221
1.0
4.940 0.000 0.000
0.000 4.940 0.000
0.000 0.000 4.940
Ba Cu As
1 1 3
Direct
0.000 0.000 0.000
0.500 0.500 0.500
0.000 0.500 0.500
0.500 0.000 0.500
0.500 0.500 0.000

***

(6)
BaCu6As2 GGA-PBE relaxed; formation enthalpy at 0 K = -274.7 meV per atom; symmetry = P4/mmm, No. 123
1.0
4.214 0.000 0.000
0.000 4.214 0.000
0.000 0.000 8.802
Ba Cu As
1 6 2
Direct
0.000 0.000 0.000
0.000 0.000 0.500
0.000 0.500 0.341
0.000 0.500 0.659
0.500 0.000 0.341
0.500 0.000 0.659
0.500 0.500 0.500
0.500 0.500 0.200
0.500 0.500 0.800

***

(7)
Ba2Cu6As3 GGA-PBE relaxed; formation enthalpy at 0 K = -397.8 meV per atom; symmetry = P-62m, No. 189
1.0
8.034 0.000 0.000
-4.017 6.957 0.000
0.000 0.000 4.267
Ba Cu As
2 6 3
Direct
0.333 0.667 0.000
0.667 0.333 0.000
0.000 0.184 0.000
0.000 0.805 0.500
0.184 0.000 0.000
0.195 0.195 0.500
0.805 0.000 0.500
0.816 0.816 0.000
0.000 0.345 0.500
0.345 0.000 0.500
0.655 0.655 0.500

***

(8)
BaCu12As6 GGA-PBE relaxed; formation enthalpy at 0 K = -60.0 meV per atom; symmetry = R-3m, No. 166
1.0
5.753 3.322 2.854
-5.753 3.322 2.854
0.000 -6.643 2.854
Ba Cu As
1 12 6
Direct
0.000 0.000 0.000
0.174 0.500 0.826
0.174 0.826 0.500
0.211 0.455 0.455
0.455 0.211 0.455
0.455 0.455 0.211
0.500 0.174 0.826
0.500 0.826 0.174
0.545 0.545 0.789
0.545 0.789 0.545
0.789 0.545 0.545
0.826 0.174 0.500
0.826 0.500 0.174
0.190 0.190 0.600
0.190 0.600 0.190
0.400 0.810 0.810
0.600 0.190 0.190
0.810 0.400 0.810
0.810 0.810 0.400

***

Let's list total magnetic moment in order: 0.662; 3.470; 0.000; 0.002; 0.000; 0.000; 0.000; 0.000 μB per cell.
Let's list Fermi-level density of states in order: 8.2; 7.1; 1.2; 4.4; 3.5; 3.7; 3.7; 3.2 states/eV/cell.